First-principles (GGA-PBE) data for NaSrTeCl after structural relaxation, as listed in the Alexandria database.

Output
Uncorrected formation energy: -1574 meV per atom
Magnetization: 0.00 μB/f.u.
Electronic total energy: -3.571 eV per atom
Calculated density: 3.926 g/cm³

a b c (Å): 7.736 7.736 7.736
angles (deg): 90.00 90.00 90.00
Space group F-43m (No. 216)
Symmetry-distinct sites (fractional):
Na: 0.000 0.000 0.000 x4
Sr: 0.000 0.000 0.500 x4
Te: 0.250 0.250 0.250 x4
Cl: 0.250 0.250 0.750 x4